Entry 1:
## Nd2EuSc (PBE)

Data for a geometry-optimized Nd2EuSc structure.

Computed properties:
density = 6.1 g/cm³
V = 32.889 Å³/atom
ΔE to the lowest computed polymorph = 54 meV per atom
D(E_F) = 5.9 states/eV per cell
energy of formation from the pure elements = 11 kJ per mole of atoms

Lattice parameters (Å, degrees): 5.120 5.120 5.018 90.00 90.00 90.00
Positions (direct):
Nd  0.000  0.500  0.000
Nd  0.500  0.000  0.000
Eu  0.000  0.000  0.500
Sc  0.500  0.500  0.500

Entry 2:
## Ba2DyPtO5 (PBE)

Data for a geometry-optimized Ba2DyPtO5 structure.

Computed properties:
density = 7.9 g/cm³
V = 16.638 Å³/atom
formation energy (no corrections) = -2.14 eV/atom
D(E_F) = 4.7 states/eV per cell

Lattice parameters (Å, degrees): 7.241 7.241 11.952 90.00 90.00 151.46
Positions (direct):
Ba  0.097  0.903  0.500
Ba  0.149  0.851  0.119
Ba  0.851  0.149  0.619
Ba  0.903  0.097  0.000
Dy  0.207  0.793  0.834
Dy  0.793  0.207  0.334
Pt  0.479  0.521  0.262
Pt  0.521  0.479  0.762
O  0.051  0.949  0.870
O  0.277  0.723  0.452
O  0.333  0.667  0.209
O  0.372  0.628  0.802
O  0.485  0.515  0.597
O  0.515  0.485  0.097
O  0.628  0.372  0.302
O  0.667  0.333  0.709
O  0.723  0.277  0.952
O  0.949  0.051  0.370

Entry 3:
## Ta2BeCr (PBE)

Data for a geometry-optimized Ta2BeCr structure.

Computed properties:
density = 12.1 g/cm³
V = 14.480 Å³/atom
D(E_F) = 3.4 states/eV per cell
energy of formation from the pure elements = 8 kJ per mole of atoms

Lattice parameters (Å, degrees): 3.137 3.947 4.844 90.00 105.07 90.00
Positions (direct):
Ta  0.000  0.000  0.000
Ta  0.222  0.500  0.582
Be  0.550  0.500  0.143
Cr  0.653  0.000  0.457

Entry 4:
## Sm2Sc6Al (PBE)

Data for a geometry-optimized Sm2Sc6Al structure.

Computed properties:
density = 4.4 g/cm³
V = 24.932 Å³/atom
D(E_F) = 12.1 states/eV per cell
energy of formation from the pure elements = 4 kJ per mole of atoms

Lattice parameters (Å, degrees): 9.089 9.089 3.137 90.07 90.07 59.99
Positions (direct):
Sm  0.166  0.166  0.000
Sm  0.834  0.834  0.000
Sc  0.179  0.500  0.501
Sc  0.179  0.821  0.500
Sc  0.500  0.179  0.501
Sc  0.500  0.821  0.499
Sc  0.821  0.179  0.500
Sc  0.821  0.500  0.499
Al  0.500  0.500  0.000